Material: TaCr3P
Method: DFT, PBE
State: optimized geometry

Structure (POSCAR):
```
TaCr3P
1.0
4.7020 0.0000 0.0000
0.0000 4.7020 0.0000
0.0000 0.0000 4.7020
Cr Ta P
3 1 1
Direct
0.0000 0.5000 0.0000 Cr
0.5000 0.0000 0.0000 Cr
0.0000 0.0000 0.5000 Cr
0.0000 0.0000 0.0000 Ta
0.5000 0.5000 0.5000 P
```

Results
SG: Pm-3m, No. 221
Energy of formation from the pure elements in eV/f.u.: 8.87
ΔE to the lowest computed polymorph in meV per atom: 1398

Material: CaTc
Method: DFT, PBE
State: optimized geometry

Structure (POSCAR):
```
CaTc
1.0
-3.9668 -4.8979 6.4461
4.1412 -7.3957 -3.0710
6.9564 1.6098 5.5040
Tc Ca
8 8
Direct
0.0987 0.9013 0.0987 Tc
0.5987 0.4013 0.5987 Tc
0.0987 0.0987 0.9013 Tc
0.9013 0.9013 0.9013 Tc
0.9013 0.0987 0.0987 Tc
0.4013 0.4013 0.4013 Tc
0.5987 0.5987 0.4013 Tc
0.4013 0.5987 0.5987 Tc
0.2077 0.7923 0.7923 Ca
0.2923 0.7077 0.2923 Ca
0.2077 0.2077 0.2077 Ca
0.7077 0.2923 0.2923 Ca
0.7077 0.7077 0.7077 Ca
0.7923 0.7923 0.2077 Ca
0.2923 0.2923 0.7077 Ca
0.7923 0.2077 0.7923 Ca
```

Results
SG: I-43m, No. 217
Energy of formation from the pure elements in eV/f.u.: 2.60
ΔE to the lowest computed polymorph in meV per atom: 1086

Material: AcSnGeAu
Method: DFT, PBE
State: optimized geometry

Structure (POSCAR):
```
AcSnGeAu
1.0
-0.8708 -3.8433 3.5095
-3.3333 -3.9238 -1.1569
1.8534 -4.8591 -0.8942
Ac Sn Ge Au
1 1 1 1
Direct
0.5000 0.5000 0.5000 Ac
0.0000 0.0000 0.0000 Sn
0.2500 0.2500 0.2500 Ge
0.7500 0.7500 0.7500 Au
```

Results
SG: F-43m, No. 216
Energy of formation from the pure elements in eV/f.u.: -1.77

Material: K2Cu2BiO6
Method: DFT, PBE
State: optimized geometry

Structure (POSCAR):
```
K2Cu2BiO6
1.0
5.9841 0.0000 0.0000
2.9921 5.1824 0.0000
2.9921 1.7275 5.9706
O Cu Bi K
6 2 1 2
Direct
0.2383 0.2383 0.7637 O
0.2383 0.7598 0.7637 O
0.7598 0.2383 0.7637 O
0.2402 0.7617 0.2363 O
0.7617 0.7617 0.2363 O
0.7617 0.2402 0.2363 O
0.5946 0.5946 0.2162 Cu
0.4054 0.4054 0.7838 Cu
0.0000 0.0000 0.0000 Bi
0.2089 0.2089 0.3734 K
0.7911 0.7911 0.6266 K
```

Results
SG: R-3m, No. 166
Total energy in eV per atom: -4.878

Material: Hf3AsP2
Method: DFT, PBE
State: optimized geometry

Structure (POSCAR):
```
Hf3AsP2
1.0
3.7445 0.0000 0.0000
-1.8722 3.2428 0.0000
0.0000 0.0000 18.3805
P Hf As
4 6 2
Direct
0.6667 0.3333 0.0805 P
0.3333 0.6667 0.5805 P
0.3333 0.6667 0.9195 P
0.6667 0.3333 0.4195 P
0.3333 0.6667 0.3430 Hf
0.0000 0.0000 0.0000 Hf
0.6667 0.3333 0.8430 Hf
0.3333 0.6667 0.1570 Hf
0.6667 0.3333 0.6570 Hf
0.0000 0.0000 0.5000 Hf
0.0000 0.0000 0.7500 As
0.0000 0.0000 0.2500 As
```

Results
SG: P6_3/mmc, No. 194
Energy of formation from the pure elements in eV/f.u.: -7.19

Material: Tm2TiAu
Method: DFT, PBE
State: optimized geometry

Structure (POSCAR):
```
Tm2TiAu
1.0
3.3843 0.0000 0.0000
0.0000 3.3843 0.0000
0.0000 0.0000 7.9885
Tm Au Ti
2 1 1
Direct
0.0000 0.0000 0.7587 Tm
0.0000 0.0000 0.2413 Tm
0.5000 0.5000 0.0000 Au
0.5000 0.5000 0.5000 Ti
```

Results
SG: P4/mmm, No. 123
Energy of formation from the pure elements in eV/f.u.: -1.25

Material: Hf6SbPt
Method: DFT, PBE
State: optimized geometry

Structure (POSCAR):
```
Hf6SbPt
1.0
7.7516 0.0178 0.1294
3.8608 6.7200 0.0595
3.8196 2.2491 3.2290
Hf Pt Sb
6 1 1
Direct
0.4995 0.7559 0.7440 Hf
0.5005 0.2441 0.2560 Hf
0.0005 0.4995 0.7440 Hf
0.7561 0.0003 0.7434 Hf
0.2439 0.9997 0.2566 Hf
0.9995 0.5005 0.2560 Hf
0.0000 0.0000 0.0000 Pt
0.5000 0.5000 0.5000 Sb
```

Results
SG: Pm-3, No. 200
Total energy in eV per atom: -9.151

Material: LaTmZnIn
Method: DFT, PBE
State: optimized geometry

Structure (POSCAR):
```
LaTmZnIn
1.0
5.3253 0.0000 0.0000
2.6627 4.6119 0.0000
2.6627 1.5373 4.3481
Tm Zn La In
1 1 1 1
Direct
0.0000 0.0000 0.0000 Tm
0.2500 0.2500 0.2500 Zn
0.5000 0.5000 0.5000 La
0.7500 0.7500 0.7500 In
```

Results
SG: F-43m, No. 216
Energy of formation from the pure elements in eV/f.u.: -1.52

Material: La5Mo
Method: DFT, PBE
State: optimized geometry

Structure (POSCAR):
```
La5Mo
1.0
3.1967 -5.5369 0.0000
3.1967 5.5369 0.0000
0.0000 0.0000 5.2936
La Mo
5 1
Direct
0.6667 0.3333 0.5000 La
0.7146 0.0000 0.0000 La
0.2854 0.2854 0.0000 La
0.3333 0.6667 0.5000 La
0.0000 0.7146 0.0000 La
0.0000 0.0000 0.5000 Mo
```

Results
SG: P-62m, No. 189
Energy of formation from the pure elements in eV/f.u.: 1.93
ΔE to the lowest computed polymorph in meV per atom: 30

Material: MnCrTcHg2
Method: DFT, PBE
State: optimized geometry

Structure (POSCAR):
```
MnCrTcHg2
1.0
-1.5224 -3.2903 -3.4805
3.7254 -0.2576 -1.3860
0.9199 -3.7849 3.1758
Cr Hg Mn Tc
1 2 1 1
Direct
0.0000 0.0000 0.0000 Cr
0.5000 0.0000 0.0000 Hg
0.0000 0.0000 0.5000 Hg
0.0000 0.5000 0.0000 Mn
0.5000 0.5000 0.5000 Tc
```

Results
SG: P4/mmm, No. 123
Energy of formation from the pure elements in eV/f.u.: 7.57

Material: RbFeSN2
Method: DFT, PBE
State: optimized geometry

Structure (POSCAR):
```
RbFeSN2
1.0
-2.6655 -3.1851 -0.0064
2.2192 -1.8512 -2.9829
2.5079 -2.1051 3.1721
Fe S Rb N
1 1 1 2
Direct
0.0000 0.0000 0.0000 Fe
0.0000 0.0000 0.5000 S
0.5000 0.5000 0.5000 Rb
0.5000 0.0000 0.0000 N
0.0000 0.5000 0.0000 N
```

Results
SG: P4/mmm, No. 123
ΔE to the lowest computed polymorph in meV per atom: 0

Material: Ac2Ga3Pt4
Method: DFT, PBE
State: optimized geometry

Structure (POSCAR):
```
Ac2Ga3Pt4
1.0
-1.2140 5.3138 -2.1906
2.8532 -2.1827 -6.8760
-6.7700 -5.2632 -1.1385
Pt Ga Ac
8 6 4
Direct
0.1899 0.9723 0.3799 Pt
0.6918 0.7500 0.8837 Pt
0.3082 0.2500 0.1163 Pt
0.8101 0.0277 0.6201 Pt
0.8082 0.2500 0.1163 Pt
0.1918 0.7500 0.8837 Pt
0.6899 0.5277 0.3799 Pt
0.3101 0.4723 0.6201 Pt
0.4722 0.2500 0.4444 Ga
0.5278 0.7500 0.5556 Ga
0.5000 0.5000 0.0000 Ga
0.0278 0.7500 0.5556 Ga
0.9722 0.2500 0.4444 Ga
0.0000 0.0000 0.0000 Ga
0.6109 0.9117 0.2218 Ac
0.3891 0.0883 0.7782 Ac
0.1109 0.5883 0.2218 Ac
0.8891 0.4117 0.7782 Ac
```

Results
SG: Cmce, No. 64
Energy of formation from the pure elements in eV/f.u.: -8.34

Material: Ce3GaP2Rh9
Method: DFT, PBE
State: optimized geometry

Structure (POSCAR):
```
Ce3GaP2Rh9
1.0
-4.2049 1.0559 5.4398
5.1475 -4.6584 0.4356
4.0782 4.7155 2.2370
Rh Ga P Ce
9 1 2 3
Direct
0.0000 0.5000 0.0000 Rh
0.1905 0.3810 0.3656 Rh
0.5000 0.0000 0.0000 Rh
0.8095 0.6190 0.6344 Rh
0.5000 0.5000 0.0000 Rh
0.3810 0.1905 0.6344 Rh
0.8095 0.1905 0.6344 Rh
0.6190 0.8095 0.3656 Rh
0.1905 0.8095 0.3656 Rh
0.0000 0.0000 0.5000 Ga
0.6667 0.3333 0.8556 P
0.3333 0.6667 0.1444 P
0.0000 0.0000 0.0000 Ce
0.3333 0.6667 0.6810 Ce
0.6667 0.3333 0.3190 Ce
```

Results
SG: P-3m1, No. 164
Energy of formation from the pure elements in eV/f.u.: -9.35

Material: BaAc3Te4
Method: DFT, PBE
State: optimized geometry

Structure (POSCAR):
```
BaAc3Te4
1.0
-2.8909 3.7534 0.5098
-5.1755 -3.2216 -5.6290
-2.1638 -2.6913 7.5449
Te Ac Ba
4 3 1
Direct
0.0000 0.2573 0.2573 Te
0.0000 0.7427 0.7427 Te
0.5000 0.2531 0.7469 Te
0.5000 0.7469 0.2531 Te
0.5000 0.5000 0.5000 Ac
0.0000 0.0000 0.5000 Ac
0.0000 0.5000 0.0000 Ac
0.5000 0.0000 0.0000 Ba
```

Results
SG: Cmmm, No. 65
Total energy in eV per atom: -4.906

Material: B2PdPt3
Method: DFT, PBE
State: optimized geometry

Structure (POSCAR):
```
B2PdPt3
1.0
2.8161 0.0000 -0.5351
0.0246 6.8833 0.1293
0.1273 0.2988 8.3480
Pt Pd B
6 2 4
Direct
0.5644 0.3713 0.1289 Pt
0.4356 0.6287 0.8711 Pt
0.0643 0.8270 0.1286 Pt
0.7118 0.6647 0.4236 Pt
0.2882 0.3353 0.5764 Pt
0.9357 0.1730 0.8714 Pt
0.6728 0.0586 0.3455 Pd
0.3272 0.9414 0.6545 Pd
0.3088 0.6379 0.6177 B
0.6912 0.3621 0.3823 B
0.9330 0.8656 0.8659 B
0.0670 0.1344 0.1341 B
```

Results
SG: C2/m, No. 12
Energy of formation from the pure elements in eV/f.u.: -0.91
ΔE to the lowest computed polymorph in meV per atom: 0

Material: Cs2Rb5O
Method: DFT, PBE
State: optimized geometry

Structure (POSCAR):
```
Cs2Rb5O
1.0
-5.0125 6.2773 3.6871
-5.8275 -0.7756 -6.6004
1.0365 -8.9927 6.1263
Rb O Cs
5 1 2
Direct
0.7863 0.7861 0.0012 Rb
0.2148 0.7861 0.0011 Rb
0.7873 0.2156 0.0031 Rb
0.8249 0.8244 0.6498 Rb
0.2157 0.2156 0.0030 Rb
0.9709 0.9707 0.9418 O
0.7385 0.2372 0.4770 Cs
0.2386 0.7413 0.4770 Cs
```

Results
SG: Cm, No. 8
ΔE to the lowest computed polymorph in meV per atom: 0

Material: CePmN
Method: DFT, PBE
State: optimized geometry

Structure (POSCAR):
```
CePmN
1.0
-1.2723 -2.6548 -1.1279
0.0024 -1.2338 2.9011
-5.0904 4.2664 0.1057
N Pm Ce
1 1 1
Direct
0.6467 0.6467 0.2934 N
0.2958 0.2958 0.5916 Pm
0.0575 0.0575 0.1150 Ce
```

Results
SG: I4mm, No. 107
ΔE to the lowest computed polymorph in meV per atom: 486

Material: ScTc2Ni
Method: DFT, PBE
State: optimized geometry

Structure (POSCAR):
```
ScTc2Ni
1.0
5.0543 0.0033 0.0000
2.2829 4.5093 0.0000
-3.6686 -2.2563 2.6450
Tc Sc Ni
2 1 1
Direct
0.5000 0.5000 0.0000 Tc
0.0000 0.0000 0.0000 Tc
0.7500 0.2500 0.5000 Sc
0.2500 0.7500 0.5000 Ni
```

Results
SG: I4/mmm, No. 139
Energy of formation from the pure elements in eV/f.u.: 0.11
ΔE to the lowest computed polymorph in meV per atom: 151

Material: TePW
Method: DFT, PBE
State: optimized geometry

Structure (POSCAR):
```
TePW
1.0
-3.0203 -2.9145 -1.2087
-4.2406 1.0122 0.2641
-2.3224 0.6445 -3.6426
W P Te
1 1 1
Direct
0.5000 0.5000 0.5000 W
0.2500 0.2500 0.2500 P
0.0000 0.0000 0.0000 Te
```

Results
SG: F-43m, No. 216
ΔE to the lowest computed polymorph in meV per atom: 887

Material: TbTeBr
Method: DFT, PBE
State: optimized geometry

Structure (POSCAR):
```
TbTeBr
1.0
5.1637 0.0000 0.0000
2.5819 4.4719 0.0000
2.5819 1.4906 4.2162
Tb Te Br
1 1 1
Direct
0.2500 0.2500 0.2500 Tb
0.0000 0.0000 0.0000 Te
0.5000 0.5000 0.5000 Br
```

Results
SG: F-43m, No. 216
Total energy in eV per atom: -4.574

Material: NdGeAu
Method: DFT, PBE
State: optimized geometry

Structure (POSCAR):
```
NdGeAu
1.0
4.0794 0.0000 0.0000
0.0000 4.0794 0.0000
-2.0397 -2.0397 4.3671
Nd Au Ge
1 1 1
Direct
0.9511 0.9511 0.9023 Nd
0.6062 0.6062 0.2124 Au
0.2926 0.2926 0.5853 Ge
```

Results
SG: I4mm, No. 107
Energy of formation from the pure elements in eV/f.u.: -1.28

Material: Pr3CdSn
Method: DFT, PBE
State: optimized geometry

Structure (POSCAR):
```
Pr3CdSn
1.0
-3.5081 2.5859 -0.7838
-2.6597 -1.7788 6.0360
5.2181 8.5386 4.8156
Pr Sn Cd
6 2 2
Direct
0.7500 0.7500 0.0717 Pr
0.2500 0.0139 0.3009 Pr
0.7500 0.9861 0.6991 Pr
0.7500 0.5139 0.6991 Pr
0.2500 0.2500 0.9283 Pr
0.2500 0.4861 0.3009 Pr
0.2500 0.7500 0.8642 Sn
0.7500 0.2500 0.1358 Sn
0.2500 0.2500 0.5568 Cd
0.7500 0.7500 0.4432 Cd
```

Results
SG: Pmmn, No. 59
Energy of formation from the pure elements in eV/f.u.: -1.62

Material: TcPSN2
Method: DFT, PBE
State: optimized geometry

Structure (POSCAR):
```
TcPSN2
1.0
-3.7219 -0.1677 -0.6913
-0.2993 -2.9716 2.3321
-0.8787 3.1933 3.9561
P N S Tc
1 2 1 1
Direct
0.5000 0.5000 0.5000 P
0.0000 0.5000 0.0000 N
0.5000 0.0000 0.0000 N
0.0000 0.0000 0.5000 S
0.0000 0.0000 0.0000 Tc
```

Results
SG: P4/mmm, No. 123
ΔE to the lowest computed polymorph in meV per atom: 0

Material: KMgBO2
Method: DFT, PBE
State: optimized geometry

Structure (POSCAR):
```
KMgBO2
1.0
-1.8122 0.4590 4.0782
-2.5412 -5.5769 -0.5015
3.6614 -1.8332 1.8332
B O Mg K
1 2 1 1
Direct
0.5000 0.5000 0.5000 B
0.0000 0.0000 0.5000 O
0.5000 0.0000 0.0000 O
0.0000 0.5000 0.0000 Mg
0.0000 0.0000 0.0000 K
```

Results
SG: P4/mmm, No. 123
Total energy in eV per atom: -2.373

Material: CuPPt2
Method: DFT, PBE
State: optimized geometry

Structure (POSCAR):
```
CuPPt2
1.0
-0.6684 0.1688 7.9345
2.2474 -0.1415 7.6395
1.0269 2.5362 7.4797
P Pt Cu
1 2 1
Direct
0.7505 0.7505 0.7505 P
0.2460 0.2460 0.2460 Pt
0.0112 0.0112 0.0112 Pt
0.4923 0.4923 0.4923 Cu
```

Results
SG: R3m, No. 160
Energy of formation from the pure elements in eV/f.u.: -0.18
ΔE to the lowest computed polymorph in meV per atom: 139

Material: Sb2TeMoBr
Method: DFT, PBE
State: optimized geometry

Structure (POSCAR):
```
Sb2TeMoBr
1.0
-0.8225 -1.1648 -5.1099
-4.4328 -2.6050 1.3073
-2.7328 4.3709 -0.5565
Br Te Sb Mo
1 1 2 1
Direct
0.5000 0.5000 0.5000 Br
0.0000 0.0000 0.5000 Te
0.5000 0.0000 0.0000 Sb
0.0000 0.5000 0.0000 Sb
0.0000 0.0000 0.0000 Mo
```

Results
SG: P4/mmm, No. 123
ΔE to the lowest computed polymorph in meV per atom: 0